(1)
## SmZn6Ir2 (PBE)

Data for a relaxed structure of SmZn6Ir2.

Cell lengths 4.396, 6.998, 6.998 Å; angles 49.28, 71.69, 71.69 degrees
Sites, in units of the cell vectors:
Ir: 0.884 0.616 0.616
Zn: 0.298 0.456 0.948
Zn: 0.298 0.948 0.456
Zn: 0.702 0.052 0.544
Ir: 0.116 0.384 0.384
Zn: 0.702 0.544 0.052
Zn: 0.500 0.301 0.699
Sm: 0.000 0.000 0.000
Zn: 0.500 0.699 0.301

Calculated values
Electronic total energy   -3.52 eV per atom

(2)
## SmZn11Ir (PBE)

Data for a relaxed structure of SmZn11Ir.

Cell lengths 5.183, 6.837, 6.888 Å; angles 81.49, 67.90, 66.84 degrees
Sites, in units of the cell vectors:
Zn: 0.718 0.783 0.781
Zn: 0.022 0.644 0.350
Zn: 0.628 0.356 0.350
Zn: 0.000 0.000 0.500
Zn: 0.499 0.783 0.219
Zn: 0.372 0.644 0.650
Sm: 0.000 0.000 0.000
Zn: 0.978 0.356 0.650
Zn: 0.282 0.217 0.219
Ir: 0.500 0.500 0.000
Zn: 0.500 0.000 0.500
Zn: 0.501 0.217 0.781
Zn: 0.000 0.500 0.000

Calculated values
Electronic total energy   -2.35 eV per atom

(3)
## Sm3ZnIr3 (PBE)

Data for a relaxed structure of Sm3ZnIr3.

Cell lengths 4.235, 5.596, 13.887 Å; angles 90.00, 90.00, 112.24 degrees
Sites, in units of the cell vectors:
Ir: 0.087 0.175 0.410
Sm: 0.514 0.029 0.250
Sm: 0.798 0.596 0.104
Sm: 0.202 0.404 0.604
Sm: 0.202 0.404 0.896
Ir: 0.769 0.538 0.750
Ir: 0.087 0.175 0.090
Ir: 0.231 0.462 0.250
Ir: 0.913 0.825 0.590
Zn: 0.500 0.000 0.500
Zn: 0.500 0.000 0.000
Sm: 0.798 0.596 0.396
Sm: 0.486 0.971 0.750
Ir: 0.913 0.825 0.910

Calculated values
Electronic total energy   -6.70 eV per atom

(4)
## Sm3ZnIr (PBE)

Data for a relaxed structure of Sm3ZnIr.

Cell lengths 5.898, 5.973, 8.073 Å; angles 95.65, 86.64, 68.94 degrees
Sites, in units of the cell vectors:
Ir: 0.217 0.409 0.211
Sm: 0.095 0.561 0.896
Sm: 0.348 0.645 0.495
Ir: 0.612 0.541 0.792
Sm: 0.729 0.302 0.096
Sm: 0.372 0.907 0.108
Zn: 0.849 0.816 0.307
Sm: 0.974 0.307 0.494
Zn: 0.109 0.038 0.791
Sm: 0.625 0.017 0.687

Calculated values
Electronic total energy   -5.25 eV per atom

(5)
## SmZn9Ir2 (PBE)

Data for a relaxed structure of SmZn9Ir2.

Cell lengths 6.962, 8.231, 8.231 Å; angles 79.70, 64.98, 64.98 degrees
Sites, in units of the cell vectors:
Ir: 0.875 0.250 0.750
Zn: 0.013 0.914 0.671
Zn: 0.737 0.586 0.829
Sm: 0.250 0.500 0.500
Ir: 0.875 0.250 0.250
Zn: 0.073 0.914 0.329
Zn: 0.013 0.671 0.914
Zn: 0.750 0.500 0.500
Zn: 0.000 0.000 0.000
Zn: 0.434 0.414 0.829
Zn: 0.599 0.329 0.086
Zn: 0.073 0.329 0.914
Zn: 0.151 0.171 0.414
Zn: 0.316 0.671 0.086
Zn: 0.737 0.829 0.586
Zn: 0.677 0.171 0.586
Ir: 0.875 0.750 0.250
Sm: 0.500 0.000 0.000
Zn: 0.151 0.414 0.171
Zn: 0.677 0.586 0.171
Zn: 0.434 0.829 0.414
Ir: 0.375 0.750 0.750
Zn: 0.316 0.086 0.671
Zn: 0.599 0.086 0.329

Calculated values
Electronic total energy   -3.10 eV per atom
Relative energy among the computed polymorphs   0 meV/atom

(6)
## SmZn9Ir2 (PBE)

Data for a relaxed structure of SmZn9Ir2.

Cell lengths 3.049, 8.689, 8.689 Å; angles 120.00, 90.00, 90.00 degrees
Sites, in units of the cell vectors:
Zn: 0.500 0.374 0.187
Zn: 0.500 0.187 0.813
Ir: 0.000 0.667 0.333
Ir: 0.000 0.333 0.667
Zn: 0.500 0.626 0.813
Zn: 0.000 0.000 0.500
Zn: 0.500 0.813 0.626
Zn: 0.500 0.187 0.374
Zn: 0.500 0.813 0.187
Zn: 0.000 0.500 0.500
Sm: 0.000 0.000 0.000
Zn: 0.000 0.500 0.000

Calculated values
Electronic total energy   -3.02 eV per atom
Relative energy among the computed polymorphs   78 meV/atom

In the order shown, the computed DFT formation energy values come out to -0.172, -0.229, -0.695, -0.388, -0.276, -0.198 eV per atom.
In the order shown, the computed M_tot values come out to 0.0, 0.0, 0.0, 0.0, 0.0, 0.0 μB per formula unit.